Record 1
Below is CsSeNO2 at its PBEsol-relaxed geometry, with properties calculated at the meta-GGA SCAN level. Values from VASP.

Calculated values
Uncorrected energy   -15.798 eV/atom
Formation energy from raw total energies   0.131 eV/atom
Fermi-level density of states   1.5 states/eV/f.u.

Structure (Quantum ESPRESSO input):
```
&SYSTEM
  ibrav = 0, nat = 5, ntyp = 4
/
ATOMIC_SPECIES
Cs 132.91 Cs.upf
O 16.00 O.upf
Se 78.96 Se.upf
N 14.01 N.upf
CELL_PARAMETERS angstrom
4.033 0.000 0.000
0.000 4.033 0.000
0.000 0.000 4.390
ATOMIC_POSITIONS angstrom
Cs 2.017 2.017 2.195
O 0.000 2.017 0.000
O 2.017 0.000 0.000
Se 0.000 0.000 0.000
N 0.000 0.000 2.195
```

Record 2
Below is CsSnNO2 at its PBEsol-relaxed geometry, with properties calculated at the meta-GGA SCAN level. Values from VASP.

Calculated values
Uncorrected energy   -19.633 eV/atom
Formation energy from raw total energies   -0.536 eV/atom
Fermi-level density of states   1.0 states/eV/f.u.

Structure (Quantum ESPRESSO input):
```
&SYSTEM
  ibrav = 0, nat = 5, ntyp = 4
/
ATOMIC_SPECIES
Cs 132.91 Cs.upf
Sn 118.71 Sn.upf
O 16.00 O.upf
N 14.01 N.upf
CELL_PARAMETERS angstrom
4.166 0.000 0.000
0.000 4.166 0.000
0.000 0.000 4.482
ATOMIC_POSITIONS angstrom
Cs 2.083 2.083 2.241
Sn 0.000 0.000 0.000
O 0.000 2.083 0.000
O 2.083 0.000 0.000
N 0.000 0.000 2.241
```

Record 3
Below is CsSnNO2 at its PBEsol-relaxed geometry, with properties calculated at the meta-GGA SCAN level. Values from VASP.

Calculated values
Uncorrected energy   -17.651 eV/atom
Formation energy from raw total energies   1.446 eV/atom
Fermi-level density of states   1.3 states/eV/f.u.

Structure (Quantum ESPRESSO input):
```
&SYSTEM
  ibrav = 0, nat = 5, ntyp = 4
/
ATOMIC_SPECIES
Cs 132.91 Cs.upf
Sn 118.71 Sn.upf
O 16.00 O.upf
N 14.01 N.upf
CELL_PARAMETERS angstrom
-0.873 -3.998 -0.204
-0.187 -0.168 4.090
-8.327 1.835 -0.306
ATOMIC_POSITIONS angstrom
Cs 0.000 0.000 0.000
Sn -4.164 0.917 -0.153
O -0.094 -0.084 2.045
O -0.437 -1.999 -0.102
N -4.694 -1.166 1.790
```

Record 4
Below is CsTlN2O at its PBEsol-relaxed geometry, with properties calculated at the meta-GGA SCAN level. Values from VASP.

Calculated values
Uncorrected energy   -26.061 eV/atom
Formation energy from raw total energies   0.936 eV/atom
Fermi-level density of states   2.0 states/eV/f.u.

Structure (Quantum ESPRESSO input):
```
&SYSTEM
  ibrav = 0, nat = 5, ntyp = 4
/
ATOMIC_SPECIES
Cs 132.91 Cs.upf
Tl 204.38 Tl.upf
O 16.00 O.upf
N 14.01 N.upf
CELL_PARAMETERS angstrom
-0.695 0.012 4.345
-3.526 -2.967 -0.556
2.928 -3.569 0.478
ATOMIC_POSITIONS angstrom
Cs -0.646 -3.262 2.133
Tl 0.000 0.000 0.000
O -0.347 0.006 2.172
N 1.464 -1.785 0.239
N -1.763 -1.483 -0.278
```